(1)
The following is a PBEsol calculation of Mn3TeAu after structural relaxation, from Alexandria via LeMat-Bulk.

Summary:
As for the formation energy from raw total energies: 117.38 kJ/mol of atoms. Its space group is No. 221.

a b c (Å): 4.7776 4.7776 4.7776
angles (deg): 90.00 90.00 90.00
With the nearest neighbours (Å) after each atom.
Positions (direct):
1 Te 0.0000 0.0000 0.0000  6 Mn 2.39
2 Au 0.5000 0.5000 0.5000  12 Mn 3.38
3 Mn 0.0000 0.5000 0.0000  2 Te 2.39
4 Mn 0.0000 0.0000 0.5000  2 Te 2.39
5 Mn 0.5000 0.0000 0.0000  2 Te 2.39

=====

(2)
The following is a PBEsol calculation of Ti3MnAu after structural relaxation, from Alexandria via LeMat-Bulk.

Summary:
Its formation energy is 6.1 kcal/mol of atoms. Its space group is No. 221.

a b c (Å): 4.3986 4.3986 4.3986
angles (deg): 90.00 90.00 90.00
With the nearest neighbours (Å) after each atom.
Positions (direct):
1 Mn 0.0000 0.0000 0.0000  6 Ti 2.20
2 Au 0.5000 0.5000 0.5000  12 Ti 3.11
3 Ti 0.0000 0.5000 0.0000  2 Mn 2.20
4 Ti 0.0000 0.0000 0.5000  2 Mn 2.20
5 Ti 0.5000 0.0000 0.0000  2 Mn 2.20

=====

(3)
The following is a PBEsol calculation of Mn2WAu after structural relaxation, from Alexandria via LeMat-Bulk.

Summary:
Its formation energy is 6.6 kcal/mol of atoms. Its space group is No. 225.

a b c (Å): 4.2929 4.2929 4.2929
angles (deg): 60.00 60.00 60.00
With the nearest neighbours (Å) after each atom.
Positions (direct):
1 Mn 0.2500 0.2500 0.2500  4 Au 2.63, 4 W 2.63
2 Mn 0.7500 0.7500 0.7500  4 W 2.63, 4 Au 2.63
3 Au 0.5000 0.5000 0.5000  8 Mn 2.63
4 W 0.0000 0.0000 0.0000  8 Mn 2.63

=====

(4)
The following is a PBEsol calculation of MnWAu4 after structural relaxation, from Alexandria via LeMat-Bulk.

Summary:
Its formation energy is 16.2 kcal/mol of atoms. Its space group is No. 216.

a b c (Å): 5.2914 5.2914 5.2914
angles (deg): 60.00 60.00 60.00
With the nearest neighbours (Å) after each atom.
Positions (direct):
1 Au 0.3750 0.3750 0.3750  6 Au 2.65
2 Au 0.3750 0.3750 0.8750  6 Au 2.65
3 Au 0.8750 0.3750 0.3750  6 Au 2.65
4 Au 0.3750 0.8750 0.3750  6 Au 2.65
5 Mn 0.7500 0.7500 0.7500  12 Au 3.10, 4 W 3.24
6 W 0.0000 0.0000 0.0000  12 Au 3.10, 4 Mn 3.24

=====

(5)
The following is a PBEsol calculation of Mn3WAu after structural relaxation, from Alexandria via LeMat-Bulk.

Summary:
Its formation energy is 45.0 kcal/mol of atoms. Its space group is No. 221.

a b c (Å): 4.7104 4.7104 4.7104
angles (deg): 90.00 90.00 90.00
With the nearest neighbours (Å) after each atom.
Positions (direct):
1 Mn 0.0000 0.5000 0.0000  2 Au 2.36
2 Mn 0.0000 0.0000 0.5000  2 Au 2.36
3 Mn 0.5000 0.0000 0.0000  2 Au 2.36
4 Au 0.0000 0.0000 0.0000  6 Mn 2.36
5 W 0.5000 0.5000 0.5000  12 Mn 3.33

=====

(6)
The following is a PBEsol calculation of YMn2Au after structural relaxation, from Alexandria via LeMat-Bulk.

Summary:
Its formation energy is -0.8 kcal/mol of atoms. Its space group is No. 160.

a b c (Å): 4.2131 4.2131 5.3841
angles (deg): 66.97 66.97 60.00
With the nearest neighbours (Å) after each atom.
Positions (direct):
1 Au 0.7138 0.7138 0.8585  6 Mn 2.61-2.68
2 Mn 0.9814 0.9814 0.0557  3 Mn 2.44, 3 Au 2.61
3 Mn 0.3025 0.3025 0.0924  3 Mn 2.44, 3 Au 2.68
4 Y 0.5022 0.5022 0.4934  7 Mn 2.88-3.22, 4 Au 3.00-3.05

=====

(7)
The following is a PBEsol calculation of YMn3Au after structural relaxation, from Alexandria via LeMat-Bulk.

Summary:
Its formation energy is 41.4 kcal/mol of atoms. Its space group is No. 221.

a b c (Å): 4.6329 4.6329 4.6329
angles (deg): 90.00 90.00 90.00
With the nearest neighbours (Å) after each atom.
Positions (direct):
1 Y 0.0000 0.0000 0.0000  6 Mn 2.32
2 Mn 0.0000 0.5000 0.0000  2 Y 2.32
3 Mn 0.0000 0.0000 0.5000  2 Y 2.32
4 Mn 0.5000 0.0000 0.0000  2 Y 2.32
5 Au 0.5000 0.5000 0.5000  12 Mn 3.28

=====

(8)
The following is a PBEsol calculation of YMn2Au after structural relaxation, from Alexandria via LeMat-Bulk.

Summary:
Its formation energy is 7.6 kcal/mol of atoms. Its space group is No. 12.

a b c (Å): 2.9990 5.1137 5.3876
angles (deg): 116.69 103.59 95.23
With the nearest neighbours (Å) after each atom.
Positions (direct):
1 Au 0.0000 0.5000 0.0000  4 Mn 2.76, 4 Y 2.84-3.08, 2 Au 3.00
2 Mn 0.0000 0.0000 0.5000  2 Au 2.76, 2 Y 2.76, 6 Mn 2.84-3.08
3 Mn 0.5000 0.5000 0.5000  2 Y 2.76, 2 Au 2.76, 6 Mn 2.84-3.08
4 Y 0.5000 0.0000 0.0000  4 Mn 2.76, 4 Au 2.84-3.08, 2 Y 3.00

=====

(9)
The following is a PBEsol calculation of YMn2Au after structural relaxation, from Alexandria via LeMat-Bulk.

Summary:
Its formation energy is 4.5 kcal/mol of atoms. Its space group is No. 216.

a b c (Å): 4.6772 4.6772 4.6772
angles (deg): 60.00 60.00 60.00
With the nearest neighbours (Å) after each atom.
Positions (direct):
1 Au 0.5000 0.5000 0.5000  4 Mn 2.86, 4 Y 2.86
2 Mn 0.0000 0.0000 0.0000  4 Mn 2.86, 4 Y 2.86
3 Mn 0.7500 0.7500 0.7500  4 Mn 2.86, 4 Au 2.86
4 Y 0.2500 0.2500 0.2500  4 Mn 2.86, 4 Au 2.86

=====

(10)
The following is a PBEsol calculation of YMn2Au after structural relaxation, from Alexandria via LeMat-Bulk.

Summary:
Its formation energy is 4.2 kcal/mol of atoms. Its space group is No. 225.

a b c (Å): 4.5618 4.5618 4.5618
angles (deg): 60.00 60.00 60.00
With the nearest neighbours (Å) after each atom.
Positions (direct):
1 Au 0.0000 0.0000 0.0000  8 Mn 2.79
2 Mn 0.2500 0.2500 0.2500  4 Au 2.79, 4 Y 2.79
3 Mn 0.7500 0.7500 0.7500  4 Y 2.79, 4 Au 2.79
4 Y 0.5000 0.5000 0.5000  8 Mn 2.79

=====

(11)
The following is a PBEsol calculation of YMnAu2 after structural relaxation, from Alexandria via LeMat-Bulk.

Summary:
Its formation energy is -7.1 kcal/mol of atoms. Its space group is No. 119.

a b c (Å): 4.1515 4.1555 5.1539
angles (deg): 113.77 113.75 90.00
With the nearest neighbours (Å) after each atom.
Positions (direct):
1 Au 0.0000 0.0000 0.0000  4 Mn 2.94, 4 Au 2.97, 4 Y 2.97
2 Au 0.7502 0.2502 0.5004  4 Y 2.94, 4 Mn 2.96-2.97, 4 Au 2.97
3 Mn 0.4999 0.4999 0.9999  8 Au 2.94-2.97, 4 Y 2.96-2.97
4 Y 0.2499 0.7499 0.4998  8 Au 2.94-2.97, 4 Mn 2.96-2.97

=====

(12)
The following is a PBEsol calculation of YMnAu after structural relaxation, from Alexandria via LeMat-Bulk.

Summary:
Its formation energy is 2.3 kcal/mol of atoms. Its space group is No. 216.

a b c (Å): 4.4662 4.4662 4.4662
angles (deg): 60.00 60.00 60.00
With the nearest neighbours (Å) after each atom.
Positions (direct):
1 Au 0.5000 0.5000 0.5000  4 Mn 2.73
2 Mn 0.2500 0.2500 0.2500  4 Y 2.73, 4 Au 2.73
3 Y 0.0000 0.0000 0.0000  4 Mn 2.73

=====

(13)
The following is a PBEsol calculation of MnZnAu after structural relaxation, from Alexandria via LeMat-Bulk.

Summary:
Its formation energy is 0.2 kcal/mol of atoms. Its space group is No. 44.

a b c (Å): 2.9076 3.6930 4.7471
angles (deg): 112.89 107.83 90.00
With the nearest neighbours (Å) after each atom.
Positions (direct):
1 Zn 0.3311 0.3311 0.6621  5 Mn 2.70-2.80, 5 Au 2.73-2.74, 2 Zn 2.91
2 Mn 0.6699 0.6699 0.3398  5 Zn 2.70-2.80, 5 Au 2.71-2.74, 2 Mn 2.91
3 Au 0.9990 0.9990 0.9980  5 Mn 2.71-2.74, 5 Zn 2.73-2.74, 2 Au 2.91

=====

(14)
The following is a PBEsol calculation of Mn2ZnAu after structural relaxation, from Alexandria via LeMat-Bulk.

Summary:
Its formation energy is 4.4 kcal/mol of atoms. Its space group is No. 160.

a b c (Å): 2.6501 2.6501 8.6720
angles (deg): 81.21 81.21 60.00
With the nearest neighbours (Å) after each atom.
Positions (direct):
1 Au 0.2524 0.2524 0.2427  6 Au 2.65, 3 Mn 2.80, 3 Zn 2.83
2 Mn 0.0105 0.0105 0.9685  3 Mn 2.30
3 Mn 0.7441 0.7441 0.7677  3 Mn 2.30
4 Zn 0.4930 0.4930 0.5211  3 Mn 2.60, 6 Zn 2.65, 3 Au 2.83

=====

(15)
The following is a PBEsol calculation of Mn2ZnAu after structural relaxation, from Alexandria via LeMat-Bulk.

Summary:
Its formation energy is 2.6 kcal/mol of atoms. Its space group is No. 123.

a b c (Å): 3.8859 3.8859 3.7589
angles (deg): 90.00 90.00 90.00
With the nearest neighbours (Å) after each atom.
Positions (direct):
1 Au 0.0000 0.0000 0.5000  8 Mn 2.70, 4 Zn 2.75
2 Mn 0.0000 0.5000 0.0000  4 Zn 2.70, 4 Au 2.70, 4 Mn 2.75
3 Mn 0.5000 0.0000 0.0000  4 Zn 2.70, 4 Au 2.70, 4 Mn 2.75
4 Zn 0.5000 0.5000 0.5000  8 Mn 2.70, 4 Au 2.75

=====

Computed values of calculated total energy (unit: eV per atom) for the preceding records, in sequence: -6.130; -7.466; -9.025; -5.842; -7.450; -7.601; -6.209; -7.236; -7.374; -7.386; -6.414; -6.734; -5.081; -6.066; -6.145.
Computed values of D(E_F) (unit: states/eV/cell) for the preceding records, in sequence: 2.53; 7.51; 4.70; 4.40; 5.80; 3.22; 3.69; 5.00; 6.55; 4.98; 2.91; 1.85; 1.48; 3.58; 3.19.